# Mn2SbRh

Mn2SbRh after structural relaxation (PBE-GGA, Alexandria via LeMat-Bulk).

Output
**Energy**: -7.144 eV/atom
**Magnetic moment**: 21.9 μB/cell
**Symmetry**: No. 160
**Formation energy from raw total energies**: 0.309 eV per atom

Cell lengths 3.055, 3.055, 25.112 Å; angles 90.00, 90.00, 120.00 degrees
Fractional coordinates of all 12 atoms:
1 Mn 0.000 0.000 0.000
2 Mn 0.000 0.000 0.251
3 Mn 0.333 0.667 0.667
4 Mn 0.333 0.667 0.917
5 Mn 0.667 0.333 0.333
6 Mn 0.667 0.333 0.584
7 Sb 0.000 0.000 0.495
8 Sb 0.333 0.667 0.162
9 Sb 0.667 0.333 0.829
10 Rh 0.000 0.000 0.747
11 Rh 0.333 0.667 0.414
12 Rh 0.667 0.333 0.080



# VFe2Pt2

VFe2Pt2 after structural relaxation (PBE-GGA, Alexandria via LeMat-Bulk).

Output
**Energy**: -7.921 eV/atom
**Magnetic moment**: 9.0 μB/cell
**Symmetry**: No. 12
**Energy relative to the elements**: -296 meV per atom

Cell lengths 8.462, 3.792, 6.029 Å; angles 90.00, 134.45, 90.00 degrees
Fractional coordinates of all 10 atoms:
1 V 0.000 0.000 0.000
2 V 0.500 0.500 0.000
3 Fe 0.099 0.500 0.798
4 Fe 0.401 0.000 0.202
5 Fe 0.599 0.000 0.798
6 Fe 0.901 0.500 0.202
7 Pt 0.208 0.000 0.617
8 Pt 0.292 0.500 0.383
9 Pt 0.708 0.500 0.617
10 Pt 0.792 0.000 0.383



# NiTe2S

NiTe2S after structural relaxation (PBE-GGA, Alexandria via LeMat-Bulk).

Output
**Energy**: -3.881 eV/atom
**Magnetic moment**: 0.0 μB/cell
**Symmetry**: No. 122
**Formation energy from raw total energies**: 0.167 eV per atom

Cell lengths 6.121, 6.121, 11.676 Å; angles 90.00, 90.00, 90.00 degrees
Fractional coordinates of all 16 atoms:
1 Ni 0.000 0.000 0.000
2 Ni 0.000 0.500 0.250
3 Ni 0.500 0.000 0.750
4 Ni 0.500 0.500 0.500
5 Te 0.196 0.250 0.125
6 Te 0.250 0.696 0.375
7 Te 0.250 0.804 0.875
8 Te 0.304 0.250 0.625
9 Te 0.696 0.750 0.625
10 Te 0.750 0.196 0.875
11 Te 0.750 0.304 0.375
12 Te 0.804 0.750 0.125
13 S 0.000 0.000 0.500
14 S 0.000 0.500 0.750
15 S 0.500 0.000 0.250
16 S 0.500 0.500 0.000



# LuVW2

LuVW2 after structural relaxation (PBE-GGA, Alexandria via LeMat-Bulk).

Output
**Energy**: -9.390 eV/atom
**Magnetic moment**: 0.0 μB/cell
**Symmetry**: No. 166
**Energy relative to the elements**: 497 meV per atom

Cell lengths 3.024, 3.024, 26.812 Å; angles 90.00, 90.00, 120.00 degrees
Fractional coordinates of all 12 atoms:
1 Lu 0.000 0.000 0.000
2 Lu 0.333 0.667 0.667
3 Lu 0.667 0.333 0.333
4 V 0.000 0.000 0.500
5 V 0.333 0.667 0.167
6 V 0.667 0.333 0.833
7 W 0.000 0.000 0.239
8 W 0.000 0.000 0.761
9 W 0.333 0.667 0.427
10 W 0.333 0.667 0.906
11 W 0.667 0.333 0.094
12 W 0.667 0.333 0.573



# CaTmZnPb

CaTmZnPb after structural relaxation (PBE-GGA, Alexandria via LeMat-Bulk).

Output
**Energy**: -3.204 eV/atom
**Magnetic moment**: 0.0 μB/cell
**Symmetry**: No. 216
**Energy relative to the elements**: -340 meV per atom

Cell lengths 7.469, 7.469, 7.469 Å; angles 90.00, 90.00, 90.00 degrees
Fractional coordinates of all 16 atoms:
1 Ca 0.000 0.000 0.000
2 Ca 0.000 0.500 0.500
3 Ca 0.500 0.000 0.500
4 Ca 0.500 0.500 0.000
5 Tm 0.000 0.000 0.500
6 Tm 0.000 0.500 0.000
7 Tm 0.500 0.000 0.000
8 Tm 0.500 0.500 0.500
9 Zn 0.250 0.250 0.250
10 Zn 0.250 0.750 0.750
11 Zn 0.750 0.250 0.750
12 Zn 0.750 0.750 0.250
13 Pb 0.250 0.250 0.750
14 Pb 0.250 0.750 0.250
15 Pb 0.750 0.250 0.250
16 Pb 0.750 0.750 0.750



# IrRuCl2

IrRuCl2 after structural relaxation (PBE-GGA, Alexandria via LeMat-Bulk).

Output
**Energy**: -5.197 eV/atom
**Magnetic moment**: 0.0 μB/cell
**Symmetry**: No. 99
**Formation energy from raw total energies**: 0.261 eV per atom
**Excess energy over the best structure of this formula in the dataset**: 215 meV per atom

Cell lengths 2.960, 2.960, 8.713 Å; angles 90.00, 90.00, 90.00 degrees
Fractional coordinates of all 4 atoms:
1 Ir 0.000 0.000 0.000
2 Ru 0.500 0.500 0.179
3 Cl 0.000 0.000 0.374
4 Cl 0.500 0.500 0.796



Which of these has the highest magnetic moment?
Mn2SbRh



Repeat the third record exactly.
# NiTe2S

NiTe2S after structural relaxation (PBE-GGA, Alexandria via LeMat-Bulk).

Output
**Energy**: -3.881 eV/atom
**Magnetic moment**: 0.0 μB/cell
**Symmetry**: No. 122
**Formation energy from raw total energies**: 0.167 eV per atom

Cell lengths 6.121, 6.121, 11.676 Å; angles 90.00, 90.00, 90.00 degrees
Fractional coordinates of all 16 atoms:
1 Ni 0.000 0.000 0.000
2 Ni 0.000 0.500 0.250
3 Ni 0.500 0.000 0.750
4 Ni 0.500 0.500 0.500
5 Te 0.196 0.250 0.125
6 Te 0.250 0.696 0.375
7 Te 0.250 0.804 0.875
8 Te 0.304 0.250 0.625
9 Te 0.696 0.750 0.625
10 Te 0.750 0.196 0.875
11 Te 0.750 0.304 0.375
12 Te 0.804 0.750 0.125
13 S 0.000 0.000 0.500
14 S 0.000 0.500 0.750
15 S 0.500 0.000 0.250
16 S 0.500 0.500 0.000